PrInTe | GGA-PBE | relaxed

Summary:
electronic total energy	-3.945	eV/atom

Cell and atoms, written as CIF:
```
data_PrInTe
_symmetry_space_group_name_H-M 'F -4 3 m'
_symmetry_Int_Tables_number 216
_symmetry_space_group_name_Hall 'F -4 2 3'
_cell_length_a 7.518
_cell_length_b 7.518
_cell_length_c 7.518
_cell_angle_alpha 90.00
_cell_angle_beta 90.00
_cell_angle_gamma 90.00
loop_
_atom_site_label
_atom_site_type_symbol
_atom_site_fract_x
_atom_site_fract_y
_atom_site_fract_z
_atom_site_occupancy
Pr1 Pr 0.000 0.000 0.000 1
In1 In 0.250 0.250 0.750 1
Te1 Te 0.250 0.250 0.250 1
```


NaCoGe | GGA-PBE | relaxed

Summary:
electronic total energy	-3.920	eV/atom

Cell and atoms, written as CIF:
```
data_NaCoGe
_symmetry_space_group_name_H-M 'F -4 3 m'
_symmetry_Int_Tables_number 216
_symmetry_space_group_name_Hall 'F -4 2 3'
_cell_length_a 5.917
_cell_length_b 5.917
_cell_length_c 5.917
_cell_angle_alpha 90.00
_cell_angle_beta 90.00
_cell_angle_gamma 90.00
loop_
_atom_site_label
_atom_site_type_symbol
_atom_site_fract_x
_atom_site_fract_y
_atom_site_fract_z
_atom_site_occupancy
Na1 Na 0.000 0.000 0.000 1
Co1 Co 0.250 0.250 0.750 1
Ge1 Ge 0.000 0.000 0.500 1
```


electronic total energy of number 2 (NaCoGe)?
-3.920 eV/atom


Which of these has the lowest electronic total energy?
PrInTe